Computed, not measured: crystalline TlGeBi2 at its relaxed geometry at the PBE level of DFT.

Summary:
Uncorrected energy (eV per atom): -3.52
SG: Cm

abc: 4.181 4.181 8.687
angles: 104.65 104.65 57.88
Fractional coordinates of all 4 atoms:
1 Tl 0.000 0.000 0.000
2 Ge 0.829 0.829 0.502
3 Bi 0.227 0.227 0.709
4 Bi 0.437 0.437 0.291